[1]
Density functional theory data (PBE) for a relaxed structure of SmDy12Er6.

Summary:
Distance to the lowest polymorph of the same formula: 6.60 kcal/mol of atoms
Energy: -236.76 eV per cell
Calculated formation energy: 442.1 meV per atom

The structure in CIF format:
```
data_SmDy12Er6
_chemical_formula_sum 'Sm3 Dy36 Er18'
_symmetry_space_group_name_H-M 'R -3 m'
_symmetry_Int_Tables_number 166
_symmetry_space_group_name_Hall '-R 3 2"'
_cell_length_a 14.9755
_cell_length_b 14.9755
_cell_length_c 10.0043
_cell_angle_alpha 90.00
_cell_angle_beta 90.00
_cell_angle_gamma 120.00
loop_
_atom_site_label
_atom_site_type_symbol
_atom_site_fract_x
_atom_site_fract_y
_atom_site_fract_z
_atom_site_occupancy
Sm1 Sm 0.0000 0.0000 0.0000 1
Dy1 Dy 0.0000 0.3892 0.5000 1
Dy2 Dy 0.0727 0.1455 0.2927 1
Er1 Er 0.0528 0.5264 0.2124 1
```


[2]
Density functional theory data (PBE) for a relaxed structure of SrGa3PdRh.

Summary:
Energy: -105.40 eV per cell
Calculated formation energy: -507.4 meV per atom

The structure in CIF format:
```
data_SrGa3PdRh
_chemical_formula_sum 'Sr4 Ga12 Pd4 Rh4'
_symmetry_space_group_name_H-M 'C m c m'
_symmetry_Int_Tables_number 63
_symmetry_space_group_name_Hall '-C 2c 2'
_cell_length_a 7.7590
_cell_length_b 11.3482
_cell_length_c 6.0648
_cell_angle_alpha 90.00
_cell_angle_beta 90.00
_cell_angle_gamma 90.00
loop_
_atom_site_label
_atom_site_type_symbol
_atom_site_fract_x
_atom_site_fract_y
_atom_site_fract_z
_atom_site_occupancy
Sr1 Sr 0.0000 0.2318 0.2500 1
Ga1 Ga 0.0000 0.2665 0.7500 1
Ga2 Ga 0.2407 0.0000 0.0000 1
Pd1 Pd 0.0000 0.4748 0.7500 1
Rh1 Rh 0.0000 0.0611 0.7500 1
```


[3]
Density functional theory data (PBE) for a relaxed structure of Rb2HfHgBr6.

Summary:
Distance to the lowest polymorph of the same formula: 1.25 kcal/mol of atoms
Raw formation energy: -1372 meV/atom
Energy: -143.79 eV per cell

The structure in CIF format:
```
data_Rb2HfHgBr6
_chemical_formula_sum 'Rb8 Hf4 Hg4 Br24'
_symmetry_space_group_name_H-M 'F m -3 m'
_symmetry_Int_Tables_number 225
_symmetry_space_group_name_Hall '-F 4 2 3'
_cell_length_a 12.0092
_cell_length_b 12.0092
_cell_length_c 12.0092
_cell_angle_alpha 90.00
_cell_angle_beta 90.00
_cell_angle_gamma 90.00
loop_
_atom_site_label
_atom_site_type_symbol
_atom_site_fract_x
_atom_site_fract_y
_atom_site_fract_z
_atom_site_occupancy
Rb1 Rb 0.2500 0.2500 0.2500 1
Hf1 Hf 0.0000 0.0000 0.0000 1
Hg1 Hg 0.0000 0.0000 0.5000 1
Br1 Br 0.0000 0.0000 0.2184 1
```